1.
Below is Y3Zn4Pt4 after structural relaxation, with properties calculated at the PBE level.

Energy relative to the elements   -9.86 eV per formula unit
SG   Immm (71)
Crystal system   orthorhombic

Cell lengths 8.2503, 8.2503, 8.2503 Å; angles 151.77, 126.35, 61.72 degrees
Closest atoms and distances in Å follow each position.
Atoms (fractional coordinates):
Y 0.0000 0.0000 0.0000  6 Pt 3.03-3.12
Y 0.3758 0.8758 0.5000  6 Pt 2.98-3.04, 6 Zn 3.10-3.23
Y 0.6242 0.1242 0.5000  6 Pt 2.98-3.04, 6 Zn 3.10-3.23
Zn 0.0242 0.3270 0.6972  4 Pt 2.58-2.72
Zn 0.3702 0.6730 0.6972  4 Pt 2.58-2.72
Zn 0.6298 0.3270 0.3028  4 Pt 2.58-2.72
Zn 0.9758 0.6730 0.3028  4 Pt 2.58-2.72
Pt 0.2202 0.2202 0.0000  6 Zn 2.58-2.72
Pt 0.3051 0.5000 0.8051  2 Zn 2.58
Pt 0.6949 0.5000 0.1949  2 Zn 2.58
Pt 0.7798 0.7798 0.0000  6 Zn 2.58-2.72

=====

2.
Below is AcHgSbAs after structural relaxation, with properties calculated at the PBE level.

SG   F-43m (216)
Formation energy from raw total energies   -0.436 eV/atom
Crystal system   cubic

Cell lengths 5.4013, 5.4013, 5.4013 Å; angles 60.00, 60.00, 60.00 degrees
Closest atoms and distances in Å follow each position.
Atoms (fractional coordinates):
Ac 0.0000 0.0000 0.0000  4 Hg 3.31, 4 As 3.31
Hg 0.7500 0.7500 0.7500  4 Ac 3.31, 4 Sb 3.31
Sb 0.5000 0.5000 0.5000  4 Hg 3.31, 4 As 3.31
As 0.2500 0.2500 0.2500  4 Ac 3.31, 4 Sb 3.31

=====

3.
Below is K4TaP after structural relaxation, with properties calculated at the PBE level.

Energy relative to the elements   7.67 eV per formula unit
SG   F-43m (216)
Crystal system   cubic

Cell lengths 6.5948, 6.5948, 6.5948 Å; angles 60.00, 60.00, 60.00 degrees
Closest atoms and distances in Å follow each position.
Atoms (fractional coordinates):
K 0.1235 0.1235 0.1235  6 K 3.26-3.34
K 0.1235 0.1235 0.6296  6 K 3.26-3.34
K 0.1235 0.6296 0.1235  6 K 3.26-3.34
K 0.6296 0.1235 0.1235  6 K 3.26-3.34
Ta 0.5000 0.5000 0.5000  12 K 3.87, 4 P 4.04
P 0.7500 0.7500 0.7500  12 K 3.86, 4 Ta 4.04

=====

4.
Below is Cs2RbPdCl6 after structural relaxation, with properties calculated at the PBE level.

SG   R-3m (166)
Formation energy from raw total energies   -1.350 eV/atom
Distance to the lowest polymorph of the same formula   0.0 meV/atom
Crystal system   trigonal

Cell lengths 15.9457, 15.9457, 15.9457 Å; angles 27.10, 27.10, 27.10 degrees
Closest atoms and distances in Å follow each position.
Atoms (fractional coordinates):
Cs 0.1392 0.1392 0.1392  9 Cl 3.54-3.74
Cs 0.3070 0.3070 0.3070  9 Cl 3.53-3.75
Cs 0.6930 0.6930 0.6930  9 Cl 3.53-3.75
Cs 0.8608 0.8608 0.8608  9 Cl 3.54-3.74
Rb 0.4137 0.4137 0.4137  6 Cl 3.24-3.25
Rb 0.5863 0.5863 0.5863  6 Cl 3.24-3.25
Pd 0.0000 0.0000 0.0000  6 Cl 2.45
Pd 0.5000 0.5000 0.5000  6 Cl 2.45
Cl 0.1600 0.6239 0.6239  1 Pd 2.45
Cl 0.1849 0.1849 0.7240  1 Pd 2.45
Cl 0.1849 0.7240 0.1849  1 Pd 2.45
Cl 0.2760 0.8151 0.8151  1 Pd 2.45
Cl 0.3761 0.3761 0.8400  1 Pd 2.45
Cl 0.3761 0.8400 0.3761  1 Pd 2.45
Cl 0.6239 0.1600 0.6239  1 Pd 2.45
Cl 0.6239 0.6239 0.1600  1 Pd 2.45
Cl 0.7240 0.1849 0.1849  1 Pd 2.45
Cl 0.8151 0.2760 0.8151  1 Pd 2.45
Cl 0.8151 0.8151 0.2760  1 Pd 2.45
Cl 0.8400 0.3761 0.3761  1 Pd 2.45

=====

5.
Below is Tb3Y4Tl after structural relaxation, with properties calculated at the PBE level.

Energy relative to the elements   -0.61 eV per formula unit
SG   Pmn2_1 (31)
Crystal system   orthorhombic

Cell lengths 11.2417, 7.0731, 6.1971 Å; angles 90.00, 90.00, 90.00 degrees
Closest atoms and distances in Å follow each position.
Atoms (fractional coordinates):
Tb 0.0000 0.1296 0.0000  6 Y 3.36-3.70, 4 Tb 3.43-3.52, 2 Tl 3.50-3.68
Tb 0.2419 0.1132 0.3372  2 Tl 3.39-3.51, 4 Tb 3.43-3.52, 6 Y 3.45-3.74
Tb 0.2581 0.8868 0.8372  2 Tl 3.39-3.51, 4 Tb 3.43-3.52, 6 Y 3.45-3.74
Tb 0.5000 0.8704 0.5000  6 Y 3.36-3.70, 4 Tb 3.43-3.52, 2 Tl 3.50-3.68
Tb 0.7419 0.8868 0.8372  2 Tl 3.39-3.51, 4 Tb 3.43-3.52, 6 Y 3.45-3.74
Tb 0.7581 0.1132 0.3372  2 Tl 3.39-3.51, 4 Tb 3.43-3.52, 6 Y 3.45-3.74
Y 0.0000 0.3692 0.5314  4 Tb 3.36-3.70, 6 Y 3.41-3.76, 2 Tl 3.51-3.57
Y 0.0000 0.6309 0.0042  6 Y 3.47-3.76, 2 Tl 3.47-3.61, 4 Tb 3.53-3.57
Y 0.2387 0.6260 0.3619  1 Tl 3.35, 6 Y 3.41-3.58, 5 Tb 3.45-3.74
Y 0.2613 0.3740 0.8619  1 Tl 3.35, 6 Y 3.41-3.58, 5 Tb 3.45-3.74
Y 0.5000 0.3691 0.5042  6 Y 3.47-3.76, 2 Tl 3.47-3.61, 4 Tb 3.53-3.57
Y 0.5000 0.6308 0.0314  4 Tb 3.36-3.70, 6 Y 3.41-3.76, 2 Tl 3.51-3.57
Y 0.7387 0.3740 0.8619  1 Tl 3.35, 6 Y 3.41-3.58, 5 Tb 3.45-3.74
Y 0.7613 0.6260 0.3619  1 Tl 3.35, 6 Y 3.41-3.58, 5 Tb 3.45-3.74
Tl 0.0000 0.8736 0.5175  6 Y 3.35-3.61, 6 Tb 3.39-3.68
Tl 0.5000 0.1264 0.0175  6 Y 3.35-3.61, 6 Tb 3.39-3.68

=====

6.
Below is NpCoSnOs after structural relaxation, with properties calculated at the PBE level.

Energy relative to the elements   0.41 eV per formula unit
SG   F-43m (216)
Crystal system   cubic

Cell lengths 4.6476, 4.6476, 4.6476 Å; angles 60.00, 60.00, 60.00 degrees
Closest atoms and distances in Å follow each position.
Atoms (fractional coordinates):
Np 0.0000 0.0000 0.0000  4 Os 2.85, 4 Co 2.85
Co 0.2500 0.2500 0.2500  4 Sn 2.85, 4 Np 2.85
Sn 0.5000 0.5000 0.5000  4 Co 2.85, 4 Os 2.85
Os 0.7500 0.7500 0.7500  4 Sn 2.85, 4 Np 2.85

=====

| no. | uncorrected energy (eV per atom) |
| --- | --- |
| 1 | -5.32 |
| 2 | -3.73 |
| 3 | -2.33 |
| 4 | -3.24 |
| 5 | -5.34 |
| 6 | -8.72 |